Li3Co3SbO8 (PBE with a Hubbard U, relaxed); energy above the most stable polymorph in this dataset = 0.000 eV/atom; final energy = -5.73 eV/atom
1.0
6.010 0.000 0.000
-3.005 5.241 -0.002
0.000 -3.461 4.974
Co Sb O Li
3 1 8 3
Direct
0.500 0.500 0.500 Co
0.500 0.000 0.500 Co
0.000 0.500 0.500 Co
0.000 0.000 0.500 Sb
0.770 0.014 0.276 O
0.234 0.469 0.728 O
0.230 0.986 0.724 O
0.756 0.986 0.724 O
0.748 0.496 0.713 O
0.244 0.014 0.276 O
0.766 0.531 0.272 O
0.252 0.504 0.287 O
0.500 0.500 0.000 Li
0.000 0.500 0.000 Li
0.000 0.000 0.000 Li